[1]
Na3WN | meta-GGA SCAN | single point on PBEsol structure

Computed properties:
total magnetization: 6.0 μB per formula unit
total energy: -16.814 eV/atom
crystal system: cubic
volume: 21.632 Å³/atom
E_form (uncorrected): 1.511 eV/atom

Cell: 4.765 4.765 4.765 Å, 90.00 90.00 90.00°
Site moments in Bohr magnetons follow the coordinates.
Atoms (fractional coordinates):
1 Na 0.500 0.000 0.000  0.00
2 Na 0.000 0.500 0.000  0.00
3 Na 0.000 0.000 0.500  0.00
4 W 0.500 0.500 0.500  3.53
5 N 0.000 0.000 0.000  0.72


[2]
BaCrOs | meta-GGA SCAN | single point on PBEsol structure

Computed properties:
total magnetization: 2.0 μB per formula unit
energy of formation: 1557 meV per atom
polymorph energy (0 for the lowest one): 0.00 eV/f.u.
total energy: -41.715 eV/atom
crystal system: cubic
volume: 20.716 Å³/atom

Cell: 4.446 4.446 4.446 Å, 60.00 60.00 60.00°
Site moments in Bohr magnetons follow the coordinates.
Atoms (fractional coordinates):
1 Cr 0.750 0.750 0.750  2.63
2 Os 0.000 0.000 0.000  -0.60
3 Ba 0.500 0.500 0.500  0.03


[3]
AuSO4 | meta-GGA SCAN | single point on PBEsol structure

Computed properties:
total magnetization: 0.0 μB per formula unit
total energy: -18.301 eV/atom
crystal system: orthorhombic
volume: 15.466 Å³/atom
E_form (uncorrected): -1.016 eV/atom

Cell: 8.383 8.588 10.313 Å, 90.00 90.00 90.00°
Atoms (fractional coordinates):
1 S 0.268 0.921 0.642
2 S 0.732 0.579 0.142
3 S 0.232 0.421 0.358
4 S 0.768 0.079 0.858
5 S 0.268 0.421 0.858
6 S 0.768 0.579 0.642
7 S 0.232 0.921 0.142
8 S 0.732 0.079 0.358
9 O 0.386 0.825 0.149
10 O 0.774 0.910 0.386
11 O 0.152 0.911 0.264
12 O 0.386 0.325 0.351
13 O 0.363 0.367 0.973
14 O 0.886 0.675 0.149
15 O 0.114 0.825 0.649
16 O 0.637 0.133 0.473
17 O 0.863 0.133 0.973
18 O 0.726 0.410 0.614
19 O 0.363 0.867 0.527
20 O 0.848 0.589 0.764
21 O 0.274 0.590 0.386
22 O 0.637 0.633 0.027
23 O 0.137 0.367 0.473
24 O 0.614 0.675 0.649
25 O 0.348 0.411 0.736
26 O 0.652 0.589 0.264
27 O 0.848 0.089 0.736
28 O 0.348 0.911 0.764
29 O 0.226 0.090 0.614
30 O 0.863 0.633 0.527
31 O 0.137 0.867 0.027
32 O 0.226 0.590 0.886
33 O 0.774 0.410 0.114
34 O 0.886 0.175 0.351
35 O 0.726 0.910 0.886
36 O 0.114 0.325 0.851
37 O 0.614 0.175 0.851
38 O 0.652 0.089 0.236
39 O 0.152 0.411 0.236
40 O 0.274 0.090 0.114
41 Au 0.446 0.135 0.984
42 Au 0.054 0.635 0.016
43 Au 0.946 0.365 0.984
44 Au 0.554 0.865 0.016
45 Au 0.946 0.865 0.516
46 Au 0.554 0.365 0.484
47 Au 0.054 0.135 0.484
48 Au 0.446 0.635 0.516


[4]
Ho3Ge13Os4 | meta-GGA SCAN | single point on PBEsol structure

Computed properties:
total magnetization: 0.0 μB per formula unit
energy of formation: -418 meV per atom
total energy: -34.549 eV/atom
crystal system: cubic
volume: 17.888 Å³/atom

Cell: 8.944 8.944 8.944 Å, 90.00 90.00 90.00°
Atoms (fractional coordinates):
1 Ge 0.145 0.700 0.000
2 Ge 0.855 0.300 0.000
3 Ge 0.500 0.500 0.500
4 Ge 0.500 0.800 0.645
5 Ge 0.000 0.000 0.000
6 Ge 0.645 0.500 0.800
7 Ge 0.500 0.200 0.355
8 Ge 0.645 0.500 0.200
9 Ge 0.355 0.500 0.800
10 Ge 0.300 0.000 0.145
11 Ge 0.000 0.855 0.300
12 Ge 0.000 0.145 0.300
13 Ge 0.000 0.855 0.700
14 Ge 0.300 0.000 0.855
15 Ge 0.855 0.700 0.000
16 Ge 0.500 0.200 0.645
17 Ge 0.700 0.000 0.145
18 Ge 0.800 0.645 0.500
19 Ge 0.500 0.800 0.355
20 Ge 0.355 0.500 0.200
21 Ge 0.800 0.355 0.500
22 Ge 0.700 0.000 0.855
23 Ge 0.145 0.300 0.000
24 Ge 0.200 0.645 0.500
25 Ge 0.200 0.355 0.500
26 Ge 0.000 0.145 0.700
27 Ho 0.750 0.000 0.500
28 Ho 0.250 0.000 0.500
29 Ho 0.500 0.250 0.000
30 Ho 0.500 0.750 0.000
31 Ho 0.000 0.500 0.750
32 Ho 0.000 0.500 0.250
33 Os 0.250 0.750 0.250
34 Os 0.250 0.250 0.750
35 Os 0.250 0.250 0.250
36 Os 0.750 0.250 0.250
37 Os 0.750 0.750 0.750
38 Os 0.750 0.250 0.750
39 Os 0.750 0.750 0.250
40 Os 0.250 0.750 0.750


[5]
KCaHg3 | meta-GGA SCAN | single point on PBEsol structure

Computed properties:
total magnetization: 0.0 μB per formula unit
energy of formation: -133 meV per atom
total energy: -44.631 eV/atom
crystal system: cubic
volume: 38.855 Å³/atom

Cell: 5.792 5.792 5.792 Å, 90.00 90.00 90.00°
Atoms (fractional coordinates):
1 Hg 0.000 0.500 0.000
2 Hg 0.000 0.000 0.500
3 Hg 0.500 0.000 0.000
4 Ca 0.000 0.000 0.000
5 K 0.500 0.500 0.500


[6]
MgSc3 | meta-GGA SCAN | single point on PBEsol structure

Computed properties:
total magnetization: 2.6 μB per formula unit
energy of formation: 23 meV per atom
polymorph energy (0 for the lowest one): 0.15 eV/f.u.
total energy: -11.898 eV/atom
crystal system: tetragonal
volume: 23.368 Å³/atom

Cell: 4.577 4.577 5.512 Å, 114.53 114.53 90.00°
Site moments in Bohr magnetons follow the coordinates.
Atoms (fractional coordinates):
1 Sc 0.250 0.750 0.500  0.50
2 Sc 0.750 0.250 0.500  0.50
3 Sc 0.500 0.500 0.000  0.55
4 Mg 0.000 0.000 0.000  0.01